Here is a relaxed structure of NpPbW from OQMD via LeMat-Bulk. Energies are from PBE.

**ΔE to the lowest computed polymorph**: 0.6622 eV per atom
**SG**: F-43m, No. 216

Geometry as POSCAR:
```
NpPbW
1.0
0.000 3.430 3.430
3.430 0.000 3.430
3.430 3.430 0.000
Np Pb W
1 1 1
direct
0.000 0.000 0.000 Np
0.750 0.750 0.750 Pb
0.250 0.250 0.250 W
```

***

Here is a relaxed structure of Tb2TmGa3AgPt2 from OQMD via LeMat-Bulk. Energies are from PBE.

**SG**: Amm2, No. 38
**Energy**: -5.0859 eV per atom

Geometry as POSCAR:
```
Tb2TmGa3AgPt2
1.0
3.725 0.000 0.000
0.000 6.492 3.760
0.000 -6.492 3.760
Tb Tm Ga Ag Pt
2 1 3 1 2
direct
0.000 0.204 0.796 Tb
0.000 0.796 0.204 Tb
0.000 0.613 0.613 Tm
0.500 0.206 0.475 Ga
0.500 0.475 0.206 Ga
0.500 0.933 0.933 Ga
0.000 0.206 0.206 Ag
0.500 0.539 0.868 Pt
0.500 0.868 0.539 Pt
```

***

Here is a relaxed structure of Tm2LuAl3CuGe2 from OQMD via LeMat-Bulk. Energies are from PBE.

**SG**: Amm2, No. 38
**Energy**: -4.8258 eV per atom

Geometry as POSCAR:
```
Tm2LuAl3CuGe2
1.0
4.121 0.000 0.000
0.000 6.002 3.467
0.000 -6.002 3.467
Tm Lu Al Cu Ge
2 1 3 1 2
direct
0.000 0.202 0.798 Tm
0.000 0.798 0.202 Tm
0.000 0.605 0.605 Lu
0.500 0.202 0.435 Al
0.500 0.435 0.202 Al
0.500 0.969 0.969 Al
0.000 0.203 0.203 Cu
0.500 0.535 0.868 Ge
0.500 0.868 0.535 Ge
```

***

Here is a relaxed structure of Tm4CdInB2 from OQMD via LeMat-Bulk. Energies are from PBE.

**SG**: P-6m2, No. 187
**Energy**: -4.4594 eV per atom

Geometry as POSCAR:
```
Tm4CdInB2
1.0
3.567 0.000 0.000
-1.784 3.089 0.000
0.000 0.000 16.707
Tm Cd In B
4 1 1 2
direct
0.000 0.000 0.159 Tm
0.000 0.000 0.841 Tm
0.333 0.667 0.340 Tm
0.333 0.667 0.660 Tm
0.000 0.000 0.500 Cd
0.333 0.667 0.000 In
0.667 0.333 0.251 B
0.667 0.333 0.749 B
```

***

Here is a relaxed structure of CdSnSeO from OQMD via LeMat-Bulk. Energies are from PBE.

**ΔE to the lowest computed polymorph**: 0.7039 eV per atom
**SG**: P4/nmm, No. 129

Geometry as POSCAR:
```
CdSnSeO
1.0
4.280 0.000 0.000
0.000 4.280 0.000
0.000 0.000 9.379
Cd Sn Se O
2 2 2 2
direct
0.250 0.250 0.227 Cd
0.750 0.750 0.773 Cd
0.250 0.750 0.500 Sn
0.750 0.250 0.500 Sn
0.250 0.250 0.815 Se
0.750 0.750 0.185 Se
0.250 0.250 0.998 O
0.750 0.750 0.002 O
```

***

Here is a relaxed structure of CsNaAsAu from OQMD via LeMat-Bulk. Energies are from PBE.

**ΔE to the lowest computed polymorph**: 0.0698 eV per atom
**SG**: Amm2, No. 38

Geometry as POSCAR:
```
CsNaAsAu
1.0
6.379 0.000 0.000
0.000 5.152 3.851
0.000 -5.152 3.851
Cs Na As Au
2 2 2 2
direct
0.000 0.174 0.826 Cs
0.000 0.826 0.174 Cs
0.500 0.170 0.509 Na
0.500 0.509 0.170 Na
0.000 0.387 0.387 As
0.500 0.895 0.895 As
0.255 0.637 0.637 Au
0.745 0.637 0.637 Au
```

***

Here is a relaxed structure of HoErMg2Ag4 from OQMD via LeMat-Bulk. Energies are from PBE.

**SG**: P4/mmm, No. 123
**Energy**: -3.2515 eV per atom

Geometry as POSCAR:
```
HoErMg2Ag4
1.0
4.892 0.000 0.000
0.000 4.892 0.000
0.000 0.000 6.915
Ho Er Mg Ag
1 1 2 4
direct
0.000 0.000 0.000 Ho
0.500 0.500 0.500 Er
0.000 0.000 0.500 Mg
0.500 0.500 0.000 Mg
0.000 0.500 0.250 Ag
0.000 0.500 0.750 Ag
0.500 0.000 0.250 Ag
0.500 0.000 0.750 Ag
```

***

Here is a relaxed structure of NdAsPd from OQMD via LeMat-Bulk. Energies are from PBE.

**SG**: P6_3/mmc, No. 194
**Energy**: -6.0496 eV per atom

Geometry as POSCAR:
```
NdAsPd
1.0
4.374 0.000 0.000
-2.187 3.788 0.000
0.000 0.000 7.868
Nd As Pd
2 2 2
direct
0.000 0.000 0.000 Nd
0.000 0.000 0.500 Nd
0.333 0.667 0.250 As
0.667 0.333 0.750 As
0.333 0.667 0.750 Pd
0.667 0.333 0.250 Pd
```

***

Here is a relaxed structure of LaZrCuPd from OQMD via LeMat-Bulk. Energies are from PBE.

**ΔE to the lowest computed polymorph**: 0.0787 eV per atom
**SG**: F-43m, No. 216

Geometry as POSCAR:
```
LaZrCuPd
1.0
0.000 3.375 3.375
3.375 0.000 3.375
3.375 3.375 0.000
La Zr Cu Pd
1 1 1 1
direct
0.000 0.000 0.000 La
0.750 0.750 0.750 Zr
0.250 0.250 0.250 Cu
0.500 0.500 0.500 Pd
```

***

Here is a relaxed structure of LiZnCoW from OQMD via LeMat-Bulk. Energies are from PBE.

**ΔE to the lowest computed polymorph**: 0.5330 eV per atom
**SG**: F-43m, No. 216

Geometry as POSCAR:
```
LiZnCoW
1.0
0.000 2.936 2.936
2.936 0.000 2.936
2.936 2.936 0.000
Li Zn Co W
1 1 1 1
direct
0.000 0.000 0.000 Li
0.500 0.500 0.500 Zn
0.750 0.750 0.750 Co
0.250 0.250 0.250 W
```

***

Here is a relaxed structure of TbPrBr3N from OQMD via LeMat-Bulk. Energies are from PBE.

**ΔE to the lowest computed polymorph**: 0.0482 eV per atom
**SG**: C2/m, No. 12

Geometry as POSCAR:
```
TbPrBr3N
1.0
9.010 -1.984 0.000
9.010 1.984 0.000
-6.460 0.000 9.631
Tb Pr Br N
2 2 6 2
direct
0.136 0.136 0.287 Tb
0.864 0.864 0.713 Tb
0.419 0.419 0.043 Pr
0.581 0.581 0.957 Pr
0.036 0.036 0.735 Br
0.226 0.226 0.128 Br
0.332 0.332 0.491 Br
0.668 0.668 0.509 Br
0.774 0.774 0.872 Br
0.964 0.964 0.265 Br
0.423 0.423 0.842 N
0.577 0.577 0.158 N
```

***

Here is a relaxed structure of LiNbNO from OQMD via LeMat-Bulk. Energies are from PBE.

**ΔE to the lowest computed polymorph**: 0.1007 eV per atom
**SG**: Pmma, No. 51

Geometry as POSCAR:
```
LiNbNO
1.0
4.260 0.000 0.000
0.000 3.771 0.000
0.000 0.000 5.556
Li Nb N O
2 2 2 2
direct
0.250 0.000 0.156 Li
0.750 0.000 0.844 Li
0.250 0.500 0.668 Nb
0.750 0.500 0.332 Nb
0.250 0.500 0.305 N
0.750 0.500 0.695 N
0.250 0.000 0.803 O
0.750 0.000 0.197 O
```

***

Copy entry 2 word for word.
Here is a relaxed structure of Tb2TmGa3AgPt2 from OQMD via LeMat-Bulk. Energies are from PBE.

**SG**: Amm2, No. 38
**Energy**: -5.0859 eV per atom

Geometry as POSCAR:
```
Tb2TmGa3AgPt2
1.0
3.725 0.000 0.000
0.000 6.492 3.760
0.000 -6.492 3.760
Tb Tm Ga Ag Pt
2 1 3 1 2
direct
0.000 0.204 0.796 Tb
0.000 0.796 0.204 Tb
0.000 0.613 0.613 Tm
0.500 0.206 0.475 Ga
0.500 0.475 0.206 Ga
0.500 0.933 0.933 Ga
0.000 0.206 0.206 Ag
0.500 0.539 0.868 Pt
0.500 0.868 0.539 Pt
```